# 1
## Ru3Rh3W2 (PBE)

Data for a relaxed Ru3Rh3W2 crystal.

Lattice parameters (Å, degrees): 4.9272 4.9272 4.9272 89.72 89.72 89.72
Sites, in units of the cell vectors:
Ru 0.0000 0.2588 0.7412
Ru 0.2588 0.7412 0.0000
Ru 0.7412 0.0000 0.2588
Rh 0.2622 0.7378 0.5000
Rh 0.5000 0.2622 0.7378
Rh 0.7378 0.5000 0.2622
W 0.2463 0.2463 0.2463
W 0.7537 0.7537 0.7537

Calculated values
Its energy of formation from the pure elements is 0.18 eV/atom. Its relative energy among the computed polymorphs is 339 meV/atom.

---

# 2
## RuRh6W (PBE)

Data for a relaxed RuRh6W crystal.

Lattice parameters (Å, degrees): 5.1480 5.1480 5.1480 89.47 89.47 89.47
Sites, in units of the cell vectors:
Ru 0.0000 0.0000 0.0000
Rh 0.1702 0.1702 0.5581
Rh 0.1702 0.5581 0.1702
Rh 0.4419 0.8298 0.8298
Rh 0.5581 0.1702 0.1702
Rh 0.8298 0.4419 0.8298
Rh 0.8298 0.8298 0.4419
W 0.5000 0.5000 0.5000

Calculated values
Its energy of formation from the pure elements is 0.69 eV/atom. Its relative energy among the computed polymorphs is 763 meV/atom.

---

# 3
## RuRh3W2 (PBE)

Data for a relaxed RuRh3W2 crystal.

Lattice parameters (Å, degrees): 4.7787 2.7450 6.7195 90.00 90.88 90.00
Sites, in units of the cell vectors:
Ru 0.0000 0.0000 0.0000
Rh 0.1737 0.5000 0.6660
Rh 0.5000 0.5000 0.0000
Rh 0.8263 0.5000 0.3340
W 0.3236 0.0000 0.3303
W 0.6764 0.0000 0.6697

Calculated values
Its energy of formation from the pure elements is -0.10 eV/atom.

---

# 4
## RuRh6W2 (PBE)

Data for a relaxed RuRh6W2 crystal.

Lattice parameters (Å, degrees): 7.7714 7.7714 7.7714 159.76 123.16 60.97
Sites, in units of the cell vectors:
Ru 0.0000 0.0000 0.0000
Rh 0.0058 0.3282 0.6776
Rh 0.3493 0.6718 0.6776
Rh 0.3571 0.8571 0.5000
Rh 0.6429 0.1429 0.5000
Rh 0.6507 0.3282 0.3224
Rh 0.9942 0.6718 0.3224
W 0.3161 0.5000 0.8161
W 0.6839 0.5000 0.1839

Calculated values
Its energy of formation from the pure elements is 0.05 eV/atom.

---

# 5
## Ru3Rh2W3 (PBE)

Data for a relaxed Ru3Rh2W3 crystal.

Lattice parameters (Å, degrees): 3.8578 3.9022 7.8311 90.00 90.00 90.00
Sites, in units of the cell vectors:
Ru 0.0000 0.0000 0.0000
Ru 0.0000 0.0000 0.5000
Ru 0.5000 0.5000 0.0000
Rh 0.0000 0.5000 0.2469
Rh 0.0000 0.5000 0.7531
W 0.5000 0.0000 0.2435
W 0.5000 0.0000 0.7565
W 0.5000 0.5000 0.5000

Calculated values
Its energy of formation from the pure elements is -0.08 eV/atom.

---

# 6
## Ru3Rh3W2 (PBE)

Data for a relaxed Ru3Rh3W2 crystal.

Lattice parameters (Å, degrees): 3.8631 3.9004 7.6605 90.00 90.00 90.00
Sites, in units of the cell vectors:
Ru 0.0000 0.0000 0.0000
Ru 0.0000 0.0000 0.5000
Ru 0.5000 0.5000 0.0000
Rh 0.0000 0.5000 0.2507
Rh 0.0000 0.5000 0.7493
Rh 0.5000 0.5000 0.5000
W 0.5000 0.0000 0.2476
W 0.5000 0.0000 0.7524

Calculated values
Its energy of formation from the pure elements is -0.16 eV/atom. Its relative energy among the computed polymorphs is 0 meV/atom.

---

# 7
## RuRh4W (PBE)

Data for a relaxed RuRh4W crystal.

Lattice parameters (Å, degrees): 5.0290 5.0290 5.0290 60.00 60.00 60.00
Sites, in units of the cell vectors:
Ru 0.0000 0.0000 0.0000
Rh 0.3746 0.3746 0.3746
Rh 0.3746 0.3746 0.8762
Rh 0.3746 0.8762 0.3746
Rh 0.8762 0.3746 0.3746
W 0.7500 0.7500 0.7500

Calculated values
Its energy of formation from the pure elements is 0.35 eV/atom. Its relative energy among the computed polymorphs is 292 meV/atom.

---

# 8
## Ru4RhW2 (PBE)

Data for a relaxed Ru4RhW2 crystal.

Lattice parameters (Å, degrees): 5.2348 5.2348 9.2477 90.00 90.00 58.64
Sites, in units of the cell vectors:
Ru 0.0501 0.4499 0.7500
Ru 0.0823 0.9177 0.7900
Ru 0.4177 0.5823 0.2900
Ru 0.4499 0.0501 0.2500
Ru 0.5501 0.9499 0.7500
Ru 0.5823 0.4177 0.7100
Ru 0.9177 0.0823 0.2100
Ru 0.9499 0.5501 0.2500
Rh 0.0000 0.0000 0.5000
Rh 0.5000 0.5000 0.0000
W 0.1712 0.1712 0.0000
W 0.3288 0.3288 0.5000
W 0.6712 0.6712 0.5000
W 0.8288 0.8288 0.0000

Calculated values
Its energy of formation from the pure elements is 0.30 eV/atom.